Entry from Alexandria: crystalline YBe2Pt2 at its relaxed geometry (GGA-PBE).

Lattice parameters (Å, degrees): 5.742 5.497 4.076 71.98 65.56 42.46
Positions (direct):
Y 0.000 0.000 0.000
Be 0.250 0.250 0.250
Be 0.750 0.750 0.750
Pt 0.359 0.359 0.641
Pt 0.641 0.641 0.359

Computed properties:
- excess energy over the best structure of this formula in the dataset (meV per atom) = 68
- DOS at the Fermi energy (states/eV per cell) = 2.608
- symmetry = No. 69
- formation enthalpy at 0 K (eV per atom) = -0.852
- total magnetic moment (μB per cell) = 0.0

Entry from Alexandria: crystalline CrMo6W12 at its relaxed geometry (GGA-PBE).

Lattice parameters (Å, degrees): 7.214 7.214 7.214 106.54 106.54 106.54
Positions (direct):
Cr 0.000 0.000 0.000
Mo 0.127 0.203 0.411
Mo 0.203 0.411 0.127
Mo 0.411 0.127 0.203
Mo 0.589 0.873 0.797
Mo 0.797 0.589 0.873
Mo 0.873 0.797 0.589
W 0.073 0.806 0.281
W 0.188 0.610 0.518
W 0.194 0.719 0.927
W 0.281 0.073 0.806
W 0.390 0.482 0.812
W 0.482 0.812 0.390
W 0.518 0.188 0.610
W 0.610 0.518 0.188
W 0.719 0.927 0.194
W 0.806 0.281 0.073
W 0.812 0.390 0.482
W 0.927 0.194 0.719

Computed properties:
- DOS at the Fermi energy (states/eV per cell) = 15.512
- symmetry = No. 148
- formation enthalpy at 0 K (eV per atom) = 0.452
- total magnetic moment (μB per cell) = 0.0

Entry from Alexandria: crystalline Ac6Tl6Pb at its relaxed geometry (GGA-PBE).

Lattice parameters (Å, degrees): 6.956 6.956 11.410 90.00 90.00 120.00
Positions (direct):
Ac 0.000 0.000 0.201
Ac 0.000 0.000 0.799
Ac 0.333 0.667 0.000
Ac 0.333 0.667 0.500
Ac 0.667 0.333 0.000
Ac 0.667 0.333 0.500
Tl 0.000 0.500 0.248
Tl 0.000 0.500 0.752
Tl 0.500 0.000 0.248
Tl 0.500 0.000 0.752
Tl 0.500 0.500 0.248
Tl 0.500 0.500 0.752
Pb 0.000 0.000 0.500

Computed properties:
- DOS at the Fermi energy (states/eV per cell) = 17.348
- symmetry = No. 191
- formation enthalpy at 0 K (eV per atom) = -0.259
- total magnetic moment (μB per cell) = 0.0

Entry from Alexandria: crystalline LuTaRuRh at its relaxed geometry (GGA-PBE).

Lattice parameters (Å, degrees): 4.598 4.598 4.598 60.00 60.00 60.00
Positions (direct):
Lu 0.000 0.000 0.000
Ta 0.500 0.500 0.500
Ru 0.250 0.250 0.250
Rh 0.750 0.750 0.750

Computed properties:
- DOS at the Fermi energy (states/eV per cell) = 2.829
- symmetry = No. 216
- formation enthalpy at 0 K (eV per atom) = -0.536
- total magnetic moment (μB per cell) = 0.0

Entry from Alexandria: crystalline TiTlNiAs2 at its relaxed geometry (GGA-PBE).

Lattice parameters (Å, degrees): 5.199 5.199 5.169 90.00 90.00 90.00
Positions (direct):
Ti 0.000 0.000 0.000
Tl 0.000 0.000 0.500
Ni 0.500 0.500 0.000
As 0.000 0.500 0.500
As 0.500 0.000 0.500

Computed properties:
- DOS at the Fermi energy (states/eV per cell) = 9.839
- symmetry = No. 123
- formation enthalpy at 0 K (eV per atom) = 1.655
- total magnetic moment (μB per cell) = 0.0

Entry from Alexandria: crystalline Ti2GeRh at its relaxed geometry (GGA-PBE).

Lattice parameters (Å, degrees): 8.662 8.662 8.662 19.51 19.51 19.51
Positions (direct):
Ti 0.248 0.248 0.248
Ti 0.752 0.752 0.752
Ge 0.000 0.000 0.000
Rh 0.500 0.500 0.500

Computed properties:
- DOS at the Fermi energy (states/eV per cell) = 4.783
- symmetry = No. 166
- formation enthalpy at 0 K (eV per atom) = -0.365
- total magnetic moment (μB per cell) = 0.0

Entry from Alexandria: crystalline AgAu2Se at its relaxed geometry (GGA-PBE).

Lattice parameters (Å, degrees): 2.869 2.869 9.327 90.00 90.00 90.14
Positions (direct):
Ag 0.000 0.000 0.000
Au 0.000 0.000 0.533
Au 0.500 0.500 0.768
Se 0.500 0.500 0.248

Computed properties:
- DOS at the Fermi energy (states/eV per cell) = 0.944
- symmetry = No. 35
- formation energy (no corrections) (eV/atom) = 0.13
- total magnetic moment (μB per cell) = 0.0

Entry from Alexandria: crystalline CrHI2N at its relaxed geometry (GGA-PBE).

Lattice parameters (Å, degrees): 5.594 5.594 3.574 90.00 90.00 90.00
Positions (direct):
Cr 0.000 0.000 0.000
H 0.500 0.500 0.500
I 0.000 0.500 0.000
I 0.500 0.000 0.000
N 0.000 0.000 0.500

Computed properties:
- excess energy over the best structure of this formula in the dataset (meV per atom) = 0
- DOS at the Fermi energy (states/eV per cell) = 1.976
- symmetry = No. 123
- total magnetic moment (μB per cell) = 2.1

Entry from Alexandria: crystalline CaTe2Pd at its relaxed geometry (GGA-PBE).

Lattice parameters (Å, degrees): 9.300 9.300 9.300 25.30 25.30 25.30
Positions (direct):
Ca 0.000 0.000 0.000
Te 0.114 0.114 0.114
Te 0.886 0.886 0.886
Pd 0.500 0.500 0.500

Computed properties:
- excess energy over the best structure of this formula in the dataset (meV per atom) = 292
- DOS at the Fermi energy (states/eV per cell) = 2.312
- symmetry = No. 166
- formation energy (no corrections) (eV/atom) = -0.34
- total magnetic moment (μB per cell) = 0.0

Entry from Alexandria: crystalline U4Tc7P6 at its relaxed geometry (GGA-PBE).

Lattice parameters (Å, degrees): 7.041 7.041 7.041 109.47 109.47 109.47
Positions (direct):
U 0.000 0.000 0.500
U 0.000 0.500 0.000
U 0.500 0.000 0.000
U 0.500 0.500 0.500
Tc 0.000 0.000 0.000
Tc 0.250 0.500 0.750
Tc 0.250 0.750 0.500
Tc 0.500 0.250 0.750
Tc 0.500 0.750 0.250
Tc 0.750 0.250 0.500
Tc 0.750 0.500 0.250
P 0.000 0.310 0.310
P 0.000 0.690 0.690
P 0.310 0.000 0.310
P 0.310 0.310 0.000
P 0.690 0.000 0.690
P 0.690 0.690 0.000

Computed properties:
- DOS at the Fermi energy (states/eV per cell) = 16.708
- symmetry = No. 229
- formation enthalpy at 0 K (eV per atom) = -0.796
- total magnetic moment (μB per cell) = 0.7

Entry from Alexandria: crystalline PmHo3Ga2 at its relaxed geometry (GGA-PBE).

Lattice parameters (Å, degrees): 4.945 9.522 6.612 90.00 90.00 90.00
Positions (direct):
Pm 0.000 0.049 0.000
Pm 0.000 0.951 0.500
Ho 0.000 0.324 0.630
Ho 0.000 0.676 0.130
Ho 0.500 0.186 0.291
Ho 0.500 0.447 0.924
Ho 0.500 0.553 0.424
Ho 0.500 0.814 0.791
Ga 0.000 0.362 0.171
Ga 0.000 0.638 0.671
Ga 0.500 0.141 0.747
Ga 0.500 0.859 0.247

Computed properties:
- excess energy over the best structure of this formula in the dataset (meV per atom) = 0
- DOS at the Fermi energy (states/eV per cell) = 10.999
- symmetry = No. 26
- formation enthalpy at 0 K (eV per atom) = -0.420
- total magnetic moment (μB per cell) = 0.0

Entry from Alexandria: crystalline K2BaTc at its relaxed geometry (GGA-PBE).

Lattice parameters (Å, degrees): 7.790 7.790 4.237 104.44 104.44 127.19
Positions (direct):
K 0.000 0.500 0.000
K 0.500 0.000 0.000
Ba 0.000 0.000 0.500
Tc 0.500 0.500 0.500

Computed properties:
- excess energy over the best structure of this formula in the dataset (meV per atom) = 213
- DOS at the Fermi energy (states/eV per cell) = 3.602
- symmetry = No. 12
- formation enthalpy at 0 K (eV per atom) = 1.087
- total magnetic moment (μB per cell) = 2.8

What is the total magnetic moment in the tenth record? 0.7 μB per cell

Which value of DOS at the Fermi energy does entry 2 give? 15.512 states/eV per cell

Number 1 is which compound? YBe2Pt2